No. 1
Crystalline BaAlZn2Ga at its relaxed geometry. Source: Alexandria via LeMat-Bulk, functional PBE-GGA.

* total energy: -12.59 eV per cell
* N(E_F): 0.549 states/eV per atom
* energy of formation: -271 meV per atom

Cell: 4.484 4.484 6.475 Å, 110.26 110.26 90.00°
Fractional coordinates of all 5 atoms:
Al1 0.250 0.750 0.500
Ga1 0.750 0.250 0.500
Zn1 0.381 0.381 0.761
Zn2 0.619 0.619 0.239
Ba1 0.000 0.000 0.000

***

No. 2
Crystalline BaAl2ZnGa4 at its relaxed geometry. Source: Alexandria via LeMat-Bulk, functional PBE-GGA.

* total energy: -24.06 eV per cell
* N(E_F): 0.189 states/eV per atom
* energy of formation: -159 meV per atom

Cell: 4.670 4.670 9.667 Å, 76.02 76.02 60.00°
Fractional coordinates of all 8 atoms:
Ga1 0.592 0.592 0.225
Ga2 0.133 0.133 0.601
Ga3 0.867 0.867 0.399
Ga4 0.408 0.408 0.775
Zn1 0.500 0.500 0.500
Al1 0.233 0.233 0.302
Al2 0.767 0.767 0.698
Ba1 0.000 0.000 0.000